The following is a PBE-GGA calculation of Cs2PmU3O12 after structural relaxation, from Alexandria.

Summary:
E_form (uncorrected): -2.901 eV per atom
E: -8.45 eV per atom

a = 7.9664 Å, b = 7.9664 Å, c = 7.9664 Å
α = 61.27°, β = 61.27°, γ = 61.27°
Last column: nearest neighbours and their distance in Å.
Element x y z (fractional)
Pm 0.0000 0.0000 0.0000  6 O 2.35
O 0.3066 0.9281 0.3066  2 U 2.13
O 0.6540 0.0733 0.0733  1 U 1.97
O 0.0733 0.0733 0.6540  1 U 1.97
O 0.9281 0.3066 0.3066  2 U 2.13
O 0.9267 0.3460 0.9267  1 U 1.97
O 0.6934 0.0719 0.6934  2 U 2.13
O 0.9267 0.9267 0.3460  1 U 1.97
O 0.0719 0.6934 0.6934  2 U 2.13
O 0.0733 0.6540 0.0733  1 U 1.97
O 0.3066 0.3066 0.9281  2 U 2.13
O 0.6934 0.6934 0.0719  2 U 2.13
O 0.3460 0.9267 0.9267  1 U 1.97
U 0.0000 0.0000 0.5000  6 O 1.97-2.13
U 0.5000 0.0000 0.0000  6 O 1.97-2.13
U 0.0000 0.5000 0.0000  6 O 1.97-2.13
Cs 0.6192 0.6192 0.6192  9 O 3.50-3.88
Cs 0.3808 0.3808 0.3808  9 O 3.50-3.88